# PBE Ir2BrN, relaxed
# VASP energy: -5.082 eV/atom
# energy relative to the lowest polymorph listed for this composition: 1.025 eV/atom
data_Ir2BrN
_chemical_formula_sum 'Ir8 Br4 N4'
_space_group_name_H-M_alt 'F m -3 m'
_space_group_IT_number 225
_space_group_name_Hall '-F 4 2 3'
_cell_length_a 6.0432
_cell_length_b 6.0432
_cell_length_c 6.0432
_cell_angle_alpha 90.00
_cell_angle_beta 90.00
_cell_angle_gamma 90.00
loop_
_atom_site_label
_atom_site_type_symbol
_atom_site_fract_x
_atom_site_fract_y
_atom_site_fract_z
Ir1 Ir 0.2500 0.2500 0.2500
Br1 Br 0.0000 0.0000 0.0000
N1 N 0.0000 0.0000 0.5000

# PBE Na4CuPt3O8, relaxed
# VASP energy: -5.162 eV/atom
data_Na4CuPt3O8
_chemical_formula_sum 'Na8 Cu2 Pt6 O16'
_space_group_name_H-M_alt 'C 1 2/m 1'
_space_group_IT_number 12
_space_group_name_Hall '-C 2y'
_cell_length_a 11.9023
_cell_length_b 6.1596
_cell_length_c 6.0644
_cell_angle_alpha 90.00
_cell_angle_beta 116.69
_cell_angle_gamma 90.00
loop_
_atom_site_label
_atom_site_type_symbol
_atom_site_fract_x
_atom_site_fract_y
_atom_site_fract_z
Na1 Na 0.0000 0.0000 0.0000
Na2 Na 0.0000 0.5000 0.0000
Na3 Na 0.2500 0.2500 0.5000
Cu1 Cu 0.0000 0.0000 0.5000
Pt1 Pt 0.0000 0.5000 0.5000
Pt2 Pt 0.2500 0.2500 0.0000
O1 O 0.0612 0.2453 0.7438
O2 O 0.2117 0.0000 0.1807
O3 O 0.2187 0.5000 0.1900

# PBE TlBiCl3, relaxed
# VASP energy: -3.234 eV/atom
# energy relative to the lowest polymorph listed for this composition: 0.000 eV/atom
data_TlBiCl3
_chemical_formula_sum 'Tl2 Bi2 Cl6'
_space_group_name_H-M_alt 'P 1 2 1'
_space_group_IT_number 3
_space_group_name_Hall 'P 2y'
_cell_length_a 8.9316
_cell_length_b 3.7264
_cell_length_c 10.8841
_cell_angle_alpha 90.00
_cell_angle_beta 106.81
_cell_angle_gamma 90.00
loop_
_atom_site_label
_atom_site_type_symbol
_atom_site_fract_x
_atom_site_fract_y
_atom_site_fract_z
Tl1 Tl 0.2155 0.0000 0.1702
Bi1 Bi 0.1850 0.4982 0.6788
Cl1 Cl 0.1400 0.4985 0.9102
Cl2 Cl 0.1481 0.4981 0.4114
Cl3 Cl 0.4937 0.4989 0.7535

| no. | volume (A^3/atom) | DOS at the Fermi energy (states/eV/f.u.) |
| --- | --- | --- |
| 1 | 13.79 | 5.68 |
| 2 | 12.41 | 2.37 |
| 3 | 34.68 | 0.81 |